# 1
VASP calculation (PBE) on CuReAg2 after structural relaxation.

abc: 4.863 4.863 5.115
angles: 81.39 81.39 31.80
Each line ends with the local moment (μB).
Positions (direct):
Ag1 0.998 0.998 0.002  0.03
Ag2 0.756 0.756 0.752  0.01
Re1 0.243 0.243 0.270  0.47
Cu1 0.503 0.503 0.477  0.06

Fermi-level density of states: 3.20 states/eV per cell
Theoretical density: 12.28 g/cm³
ΔH_f (0 K): 0.564 eV/atom
Symmetry: Cm
Energy above the lowest structure with this stoichiometry: 204 meV/atom

***

# 2
VASP calculation (PBE) on CuRe2Ag after structural relaxation.

abc: 5.075 5.075 2.648
angles: 90.00 90.00 118.58
Positions (direct):
Cu1 0.000 0.500 0.500
Re1 0.500 0.500 0.000
Re2 0.000 0.000 0.000
Ag1 0.500 0.000 0.500

Fermi-level density of states: 3.91 states/eV per cell
Theoretical density: 15.08 g/cm³
ΔH_f (0 K): 0.635 eV/atom
Symmetry: Cmmm
Energy above the lowest structure with this stoichiometry: 406 meV/atom

***

# 3
VASP calculation (PBE) on CuReAg after structural relaxation.

abc: 7.246 7.063 2.657
angles: 83.21 75.43 21.36
Positions (direct):
Cu1 0.330 0.330 0.670
Ag1 0.994 0.994 0.006
Re1 0.675 0.675 0.325

Fermi-level density of states: 2.51 states/eV per cell
Theoretical density: 13.12 g/cm³
ΔH_f (0 K): 0.449 eV/atom
Symmetry: Fmm2
Energy above the lowest structure with this stoichiometry: 71 meV/atom